First-principles (PBE) data for crystalline TaInCl4 at its relaxed geometry, as listed in Alexandria via LeMat-Bulk.

Cell lengths 5.819, 5.819, 5.819 Å; angles 60.00, 60.00, 60.00 degrees
Sites, in units of the cell vectors:
Ta 0.000 0.000 0.000
In 0.250 0.250 0.250
Cl 0.122 0.626 0.626
Cl 0.626 0.122 0.626
Cl 0.626 0.626 0.122
Cl 0.626 0.626 0.626

Calculated values
Relative energy among the computed polymorphs ... 1.684 eV/atom
ρ ... 5.22 g/cm3
DFT total energy ... -17.094 eV per cell
ΔE_f (raw) ... 0.8140 eV/atom